Material: MoSe3
Method: DFT, PBE
State: optimized geometry

Its magnetization is 0.000 μB per cell. The density of states at the Fermi level comes out at 0.545 states/eV/atom. For the total energy, the calculation gives -5.596 eV per atom. The uncorrected formation energy comes out at -275 meV/atom.

Lattice parameters (Å, degrees): 10.0254 10.0254 3.0057 90.00 90.00 120.00
Fractional positions:
Mo (0.3333, 0.6667, 0.2500)
Mo (0.6667, 0.3333, 0.7500)
Se (0.2178, 0.4355, 0.7500)
Se (0.2178, 0.7822, 0.7500)
Se (0.4355, 0.2178, 0.2500)
Se (0.5645, 0.7822, 0.7500)
Se (0.7822, 0.2178, 0.2500)
Se (0.7822, 0.5645, 0.2500)

=====

Material: LiSi2P
Method: DFT, PBE
State: optimized geometry

Its magnetization is 0.000 μB per cell. The density of states at the Fermi level comes out at 0.228 states/eV/atom. For the total energy, the calculation gives -4.273 eV per atom. The uncorrected formation energy comes out at 269 meV/atom.

Lattice parameters (Å, degrees): 4.3244 4.3244 4.3244 60.00 60.00 60.00
Fractional positions:
Li (0.0000, 0.0000, 0.0000)
Si (0.5000, 0.5000, 0.5000)
Si (0.7500, 0.7500, 0.7500)
P (0.2500, 0.2500, 0.2500)

=====

Material: LiGd2Ag
Method: DFT, PBE
State: optimized geometry

Its magnetization is 14.883 μB per cell. The density of states at the Fermi level comes out at 1.303 states/eV/atom. Its energy of formation is -0.1033 eV/atom. For the total energy, the calculation gives -8.335 eV per atom.

Lattice parameters (Å, degrees): 5.1223 5.1223 3.7891 90.00 90.00 90.00
Fractional positions:
Li (0.0000, 0.0000, 0.0000)
Gd (0.0000, 0.5000, 0.5000)
Gd (0.5000, 0.0000, 0.5000)
Ag (0.5000, 0.5000, 0.0000)

=====

Material: POsRhS2
Method: DFT, PBE
State: optimized geometry

Its magnetization is 0.689 μB per cell. The density of states at the Fermi level comes out at 1.020 states/eV/atom. For the total energy, the calculation gives -5.109 eV per atom. The uncorrected formation energy comes out at 1340 meV/atom.

Lattice parameters (Å, degrees): 4.5515 4.5515 4.4030 90.00 90.00 90.00
Fractional positions:
P (0.0000, 0.0000, 0.0000)
Os (0.5000, 0.5000, 0.0000)
Rh (0.0000, 0.0000, 0.5000)
S (0.0000, 0.5000, 0.5000)
S (0.5000, 0.0000, 0.5000)

=====

Material: KHgO2F
Method: DFT, PBE
State: optimized geometry

Its magnetization is 0.831 μB per cell. The density of states at the Fermi level comes out at 0.871 states/eV/atom. For the total energy, the calculation gives -3.361 eV per atom. The uncorrected formation energy comes out at -723 meV/atom.

Lattice parameters (Å, degrees): 4.1829 4.1829 4.9108 90.00 90.00 90.00
Fractional positions:
K (0.0000, 0.0000, 0.0000)
Hg (0.5000, 0.5000, 0.5000)
O (0.0000, 0.5000, 0.5000)
O (0.5000, 0.0000, 0.5000)
F (0.5000, 0.5000, 0.0000)

=====

Material: Tb5Pr5Tm2
Method: DFT, PBE
State: optimized geometry

Its magnetization is 0.000 μB per cell. The density of states at the Fermi level comes out at 1.458 states/eV/atom. Its energy of formation is 0.0210 eV/atom. For the total energy, the calculation gives -4.645 eV per atom.

Lattice parameters (Å, degrees): 8.0794 8.0794 11.4360 115.05 115.05 36.82
Fractional positions:
Tb (0.0000, 0.0000, 0.0000)
Tb (0.0812, 0.0812, 0.7488)
Tb (0.1674, 0.1674, 0.5004)
Tb (0.8326, 0.8326, 0.4996)
Tb (0.9188, 0.9188, 0.2512)
Pr (0.2485, 0.2485, 0.2510)
Pr (0.3359, 0.3359, 0.0013)
Pr (0.5000, 0.5000, 0.5000)
Pr (0.6641, 0.6641, 0.9987)
Pr (0.7515, 0.7515, 0.7490)
Tm (0.4166, 0.4166, 0.7471)
Tm (0.5834, 0.5834, 0.2529)

=====

Material: NpTlFe4
Method: DFT, PBE
State: optimized geometry

Its magnetization is 4.393 μB per cell. The density of states at the Fermi level comes out at 2.011 states/eV/atom. Its energy of formation is 0.2118 eV/atom. For the total energy, the calculation gives -7.981 eV per atom.

Lattice parameters (Å, degrees): 5.0688 5.0688 5.0688 60.00 60.00 60.00
Fractional positions:
Np (0.0000, 0.0000, 0.0000)
Tl (0.2500, 0.2500, 0.2500)
Fe (0.1254, 0.6249, 0.6249)
Fe (0.6249, 0.1254, 0.6249)
Fe (0.6249, 0.6249, 0.1254)
Fe (0.6249, 0.6249, 0.6249)

=====

Material: CdSiW2
Method: DFT, PBE
State: optimized geometry

Its magnetization is 0.000 μB per cell. The density of states at the Fermi level comes out at 1.111 states/eV/atom. For the total energy, the calculation gives -7.622 eV per atom. The uncorrected formation energy comes out at 440 meV/atom.

Lattice parameters (Å, degrees): 9.4850 9.4850 9.4850 17.53 17.53 17.53
Fractional positions:
Cd (0.0000, 0.0000, 0.0000)
Si (0.7552, 0.7552, 0.7552)
W (0.2424, 0.2424, 0.2424)
W (0.4940, 0.4940, 0.4940)

=====

Material: Tb2CePmDy5
Method: DFT, PBE
State: optimized geometry

Its magnetization is 1.483 μB per cell. The density of states at the Fermi level comes out at 1.785 states/eV/atom. Its energy of formation is 0.1719 eV/atom. For the total energy, the calculation gives -4.601 eV per atom.

Lattice parameters (Å, degrees): 11.1345 11.1345 9.5825 90.00 90.00 150.31
Fractional positions:
Tb (0.1133, 0.8867, 0.5000)
Tb (0.1365, 0.8635, 0.8826)
Tb (0.8635, 0.1365, 0.3826)
Tb (0.8867, 0.1133, 0.0000)
Ce (0.1937, 0.8063, 0.1996)
Ce (0.8063, 0.1937, 0.6996)
Pm (0.4032, 0.5968, 0.6022)
Pm (0.5968, 0.4032, 0.1022)
Dy (0.0128, 0.9872, 0.1917)
Dy (0.2664, 0.7336, 0.5119)
Dy (0.3067, 0.6933, 0.8936)
Dy (0.3941, 0.6059, 0.2191)
Dy (0.4713, 0.5287, 0.9238)
Dy (0.5287, 0.4713, 0.4238)
Dy (0.6059, 0.3941, 0.7191)
Dy (0.6933, 0.3067, 0.3936)
Dy (0.7336, 0.2664, 0.0119)
Dy (0.9872, 0.0128, 0.6917)

=====

Material: TlGeICl2
Method: DFT, PBE
State: optimized geometry

Its magnetization is 0.000 μB per cell. For the total energy, the calculation gives -3.154 eV per atom. The uncorrected formation energy comes out at -709 meV/atom.

Lattice parameters (Å, degrees): 5.2393 5.2393 5.9561 90.00 90.00 90.00
Fractional positions:
Tl (0.0000, 0.0000, 0.0000)
Ge (0.5000, 0.5000, 0.5000)
I (0.5000, 0.5000, 0.0000)
Cl (0.0000, 0.5000, 0.5000)
Cl (0.5000, 0.0000, 0.5000)

=====

Material: Ac4LaSm3Se8
Method: DFT, PBE
State: optimized geometry

Its magnetization is 0.000 μB per cell. The density of states at the Fermi level comes out at 0.597 states/eV/atom. For the total energy, the calculation gives -5.816 eV per atom. The uncorrected formation energy comes out at -1854 meV/atom.

Lattice parameters (Å, degrees): 8.7083 8.7083 8.7083 59.50 59.50 59.50
Fractional positions:
Ac (0.0000, 0.0000, 0.0000)
Ac (0.0000, 0.5000, 0.5000)
Ac (0.5000, 0.0000, 0.5000)
Ac (0.5000, 0.5000, 0.0000)
La (0.5000, 0.5000, 0.5000)
Sm (0.0000, 0.0000, 0.5000)
Sm (0.0000, 0.5000, 0.0000)
Sm (0.5000, 0.0000, 0.0000)
Se (0.2396, 0.7466, 0.7466)
Se (0.2433, 0.2433, 0.2433)
Se (0.2534, 0.2534, 0.7604)
Se (0.2534, 0.7604, 0.2534)
Se (0.7466, 0.2396, 0.7466)
Se (0.7466, 0.7466, 0.2396)
Se (0.7567, 0.7567, 0.7567)
Se (0.7604, 0.2534, 0.2534)

=====

Material: CeZnGe2Rh5
Method: DFT, PBE
State: optimized geometry

Its magnetization is 0.000 μB per cell. The density of states at the Fermi level comes out at 0.566 states/eV/atom. Its energy of formation is -0.4000 eV/atom. For the total energy, the calculation gives -6.311 eV per atom.

Lattice parameters (Å, degrees): 4.1439 4.1439 8.9030 90.00 90.00 90.00
Fractional positions:
Ce (0.0000, 0.0000, 0.0000)
Zn (0.0000, 0.0000, 0.5000)
Ge (0.5000, 0.5000, 0.3661)
Ge (0.5000, 0.5000, 0.6339)
Rh (0.0000, 0.5000, 0.2295)
Rh (0.0000, 0.5000, 0.7705)
Rh (0.5000, 0.0000, 0.2295)
Rh (0.5000, 0.0000, 0.7705)
Rh (0.5000, 0.5000, 0.0000)